# PmInBi2

A geometry-optimized PmInBi2 structure (PBE-GGA, the Alexandria database).

The calculation puts the total DFT energy (no corrections) at -4.07 eV per atom.

The space group is Fm-3m (No. 225) and the conventional cell measures 7.917, 7.917 and 7.917 Å, with angles of 90.00, 90.00 and 90.00 degrees. The inequivalent atoms are Pm at (0.000, 0.000, 0.000), In at (0.000, 0.000, 0.500) and Bi at (0.250, 0.250, 0.250).